Record 1
Material: CaNbVO6
Method: DFT, GGA+U
State: optimized geometry

Cell and atoms, written as CIF:
```
data_CaNbVO6
_chemical_formula_sum 'Ca2 Nb2 V2 O12'
_cell_length_a 5.1766
_cell_length_b 5.1766
_cell_length_c 10.1128
_cell_angle_alpha 90.00
_cell_angle_beta 90.00
_cell_angle_gamma 120.00
_space_group_name_H-M_alt 'P -3 1 c'
_space_group_IT_number 163
_space_group_name_Hall '-P 3 2c'
loop_
_atom_site_label
_atom_site_type_symbol
_atom_site_fract_x
_atom_site_fract_y
_atom_site_fract_z
_atom_site_occupancy
Ca1 Ca 0.0000 0.0000 0.0000 1
Nb1 Nb 0.3333 0.6667 0.2500 1
V1 V 0.3333 0.6667 0.7500 1
O1 O 0.0154 0.3790 0.6437 1
```

=====

Record 2
Material: CaNbWO6
Method: DFT, GGA+U
State: optimized geometry

Cell and atoms, written as CIF:
```
data_CaNbWO6
_chemical_formula_sum 'Ca2 Nb2 W2 O12'
_cell_length_a 4.954
_cell_length_b 4.954
_cell_length_c 9.609
_cell_angle_alpha 90.00
_cell_angle_beta 90.00
_cell_angle_gamma 90.00
_space_group_name_H-M_alt 'P 42 n m'
_space_group_IT_number 102
loop_
_space_group_symop_operation_xyz
'x,y,z'
'-y+1/2,x+1/2,z+1/2'
'-x,-y,z'
'y+1/2,-x+1/2,z+1/2'
'-x+1/2,y+1/2,z+1/2'
'y,x,z'
'x+1/2,-y+1/2,z+1/2'
'-y,-x,z'
loop_
_atom_site_label
_atom_site_type_symbol
_atom_site_fract_x
_atom_site_fract_y
_atom_site_fract_z
_atom_site_occupancy
Ca1 Ca 0.000 0.000 0.000 1
Nb1 Nb 0.000 0.000 0.669 1
W1 W 0.000 0.000 0.330 1
O1 O 0.175 0.175 0.499 1
O2 O 0.210 0.210 0.194 1
O3 O 0.210 0.210 0.810 1
```

=====

Record 3
Material: CaNbWO2
Method: DFT, GGA+U
State: optimized geometry

Cell and atoms, written as CIF:
```
data_CaNbWO2
_chemical_formula_sum 'Ca1 Nb1 W1 O2'
_cell_length_a 4.121
_cell_length_b 4.121
_cell_length_c 5.635
_cell_angle_alpha 90.00
_cell_angle_beta 90.00
_cell_angle_gamma 90.00
_space_group_name_H-M_alt 'P 4/m m m'
_space_group_IT_number 123
_space_group_name_Hall '-P 4 2'
loop_
_atom_site_label
_atom_site_type_symbol
_atom_site_fract_x
_atom_site_fract_y
_atom_site_fract_z
_atom_site_occupancy
Ca1 Ca 0.000 0.000 0.000 1
Nb1 Nb 0.500 0.500 0.500 1
W1 W 0.500 0.500 0.000 1
O1 O 0.000 0.500 0.500 1
```

=====

Record 4
Material: Ca2Nb2WO8
Method: DFT, GGA+U
State: optimized geometry

Cell and atoms, written as CIF:
```
data_Ca2Nb2WO8
_chemical_formula_sum 'Ca4 Nb4 W2 O16'
_cell_length_a 5.611
_cell_length_b 6.319
_cell_length_c 10.112
_cell_angle_alpha 108.06
_cell_angle_beta 92.64
_cell_angle_gamma 90.79
_space_group_name_H-M_alt 'P 1'
_space_group_IT_number 1
loop_
_space_group_symop_operation_xyz
'x,y,z'
loop_
_atom_site_label
_atom_site_type_symbol
_atom_site_fract_x
_atom_site_fract_y
_atom_site_fract_z
_atom_site_occupancy
Ca1 Ca 0.000 0.000 0.000 1
Ca2 Ca 0.023 0.592 0.182 1
Ca3 Ca 0.499 0.370 0.010 1
Ca4 Ca 0.528 0.953 0.173 1
Nb1 Nb 0.017 0.222 0.356 1
Nb2 Nb 0.022 0.447 0.815 1
Nb3 Nb 0.492 0.496 0.361 1
Nb4 Nb 0.522 0.739 0.812 1
W1 W 0.000 0.843 0.585 1
W2 W 0.506 0.116 0.585 1
O1 O 0.097 0.319 0.961 1
O2 O 0.141 0.562 0.431 1
O3 O 0.157 0.055 0.474 1
O4 O 0.251 0.717 0.940 1
O5 O 0.264 0.235 0.216 1
O6 O 0.347 0.418 0.719 1
O7 O 0.348 0.903 0.697 1
O8 O 0.422 0.639 0.214 1
O9 O 0.601 0.013 0.958 1
O10 O 0.649 0.786 0.477 1
O11 O 0.670 0.279 0.446 1
O12 O 0.746 0.593 0.939 1
O13 O 0.760 0.354 0.227 1
O14 O 0.850 0.166 0.698 1
O15 O 0.851 0.680 0.724 1
O16 O 0.923 0.941 0.210 1
```

=====

no.,energy (eV/f.u.)
1,-71.26
2,-71.37
3,-31.72
4,-103.39